Below is a relaxed structure of Re5Ni8, with properties calculated at the GGA-PBE level.

a b c (Å): 8.9756 8.9756 8.9756
angles (deg): 29.85 29.85 29.85
With the nearest neighbours (Å) after each atom.
Positions (direct):
Ni 0.0887 0.5833 0.0887  6 Ni 2.29-2.54, 2 Re 2.45-2.55
Ni 0.5833 0.0887 0.0887  6 Ni 2.29-2.54, 2 Re 2.45-2.55
Ni 0.9113 0.9113 0.4167  6 Ni 2.29-2.54, 2 Re 2.45-2.55
Ni 0.4540 0.4540 0.4540  7 Ni 2.36-2.54, 1 Re 2.61
Ni 0.5460 0.5460 0.5460  7 Ni 2.36-2.54, 1 Re 2.61
Ni 0.0887 0.0887 0.5833  6 Ni 2.29-2.54, 2 Re 2.45-2.55
Ni 0.9113 0.4167 0.9113  6 Ni 2.29-2.54, 2 Re 2.45-2.55
Ni 0.4167 0.9113 0.9113  6 Ni 2.29-2.54, 2 Re 2.45-2.55
Re 0.0000 0.0000 0.0000  6 Ni 2.45, 6 Re 2.71
Re 0.1639 0.1639 0.1639  6 Ni 2.55-2.66, 3 Re 2.67
Re 0.3525 0.3525 0.3525  10 Ni 2.61-2.87, 6 Re 2.71-2.85
Re 0.6475 0.6475 0.6475  10 Ni 2.61-2.87, 6 Re 2.71-2.85
Re 0.8361 0.8361 0.8361  6 Ni 2.55-2.66, 3 Re 2.67

**Density**: 14.7 g/cm3
**Distance to the lowest polymorph of the same formula**: 0 meV per atom

---

Below is a relaxed structure of Re8Ni5, with properties calculated at the GGA-PBE level.

a b c (Å): 9.0324 9.0324 9.0324
angles (deg): 32.22 32.22 32.22
With the nearest neighbours (Å) after each atom.
Positions (direct):
Ni 0.0000 0.0000 0.0000  6 Re 2.47
Ni 0.3543 0.3543 0.3543  1 Ni 2.49
Ni 0.4514 0.4514 0.4514  2 Ni 2.49-2.50, 6 Re 2.72
Ni 0.5486 0.5486 0.5486  2 Ni 2.49-2.50, 6 Re 2.72
Ni 0.6457 0.6457 0.6457  1 Ni 2.49
Re 0.5834 0.0927 0.0927  6 Re 2.46-2.74, 3 Ni 2.47-2.72
Re 0.0927 0.5834 0.0927  6 Re 2.46-2.74, 3 Ni 2.47-2.72
Re 0.1649 0.1649 0.1649  9 Re 2.69-2.90
Re 0.9073 0.9073 0.4166  6 Re 2.46-2.74, 3 Ni 2.47-2.72
Re 0.0927 0.0927 0.5834  6 Re 2.46-2.74, 3 Ni 2.47-2.72
Re 0.8351 0.8351 0.8351  9 Re 2.69-2.90
Re 0.9073 0.4166 0.9073  6 Re 2.46-2.74, 3 Ni 2.47-2.72
Re 0.4166 0.9073 0.9073  6 Re 2.46-2.74, 3 Ni 2.47-2.72

**Density**: 15.9 g/cm3
**Distance to the lowest polymorph of the same formula**: 82 meV per atom

---

Below is a relaxed structure of Re9Ni4, with properties calculated at the GGA-PBE level.

a b c (Å): 9.2455 9.2455 9.2455
angles (deg): 31.66 31.66 31.66
With the nearest neighbours (Å) after each atom.
Positions (direct):
Ni 0.1645 0.1645 0.1645  6 Re 2.66-2.74, 3 Ni 2.91
Ni 0.3419 0.3419 0.3419  7 Re 2.75-2.92, 3 Ni 2.95
Ni 0.6581 0.6581 0.6581  7 Re 2.75-2.92, 3 Ni 2.95
Ni 0.8355 0.8355 0.8355  6 Re 2.66-2.74, 3 Ni 2.91
Re 0.0000 0.0000 0.0000  6 Re 2.58
Re 0.5822 0.0882 0.0882  7 Re 2.49-2.72, 3 Ni 2.66-2.75
Re 0.0882 0.5822 0.0882  7 Re 2.49-2.72, 3 Ni 2.66-2.75
Re 0.9118 0.9118 0.4178  7 Re 2.49-2.72, 3 Ni 2.66-2.75
Re 0.4530 0.4530 0.4530  7 Re 2.48-2.72
Re 0.5470 0.5470 0.5470  7 Re 2.48-2.72
Re 0.0882 0.0882 0.5822  7 Re 2.49-2.72, 3 Ni 2.66-2.75
Re 0.9118 0.4178 0.9118  7 Re 2.49-2.72, 3 Ni 2.66-2.75
Re 0.4178 0.9118 0.9118  7 Re 2.49-2.72, 3 Ni 2.66-2.75

**Density**: 16.4 g/cm3
**Distance to the lowest polymorph of the same formula**: 0 meV per atom

---

Below is a relaxed structure of Re5Ni, with properties calculated at the GGA-PBE level.

a b c (Å): 4.9238 4.9238 8.1349
angles (deg): 90.00 90.00 118.05
With the nearest neighbours (Å) after each atom.
Positions (direct):
Ni 0.6695 0.3305 0.2500  6 Re 2.39-2.53
Ni 0.3305 0.6695 0.7500  6 Re 2.39-2.53
Re 0.5000 0.5000 0.0000  2 Ni 2.49, 4 Re 2.53
Re 0.1638 0.8362 0.0645  13 Re 2.87-3.10, 3 Ni 2.92-2.95
Re 0.1526 0.3258 0.2500  2 Ni 2.39-2.53, 4 Re 2.42-2.64
Re 0.6742 0.8474 0.2500  2 Ni 2.39-2.53, 4 Re 2.42-2.64
Re 0.1638 0.8362 0.4355  13 Re 2.87-3.10, 3 Ni 2.92-2.95
Re 0.5000 0.5000 0.5000  2 Ni 2.49, 4 Re 2.53
Re 0.8362 0.1638 0.5645  13 Re 2.87-3.10, 3 Ni 2.92-2.95
Re 0.3258 0.1526 0.7500  2 Ni 2.39-2.53, 4 Re 2.42-2.64
Re 0.8474 0.6742 0.7500  2 Ni 2.39-2.53, 4 Re 2.42-2.64
Re 0.8362 0.1638 0.9355  13 Re 2.87-3.10, 3 Ni 2.92-2.95

**Density**: 18.9 g/cm3
**Distance to the lowest polymorph of the same formula**: 0 meV per atom

---

Below is a relaxed structure of Re12Ni17, with properties calculated at the GGA-PBE level.

a b c (Å): 7.7936 7.7936 7.7936
angles (deg): 109.47 109.47 109.47
With the nearest neighbours (Å) after each atom.
Positions (direct):
Ni 0.0000 0.0000 0.0000  16 Ni 2.72-2.76
Ni 0.6508 0.0000 0.0000  3 Re 2.52, 7 Ni 2.68-2.72
Ni 0.3697 0.1862 0.0000  3 Ni 2.34-2.37, 3 Re 2.52-2.56
Ni 0.1862 0.3697 0.0000  3 Ni 2.34-2.37, 3 Re 2.52-2.56
Ni 0.0000 0.6508 0.0000  3 Re 2.52, 7 Ni 2.68-2.72
Ni 0.8138 0.8138 0.1835  3 Ni 2.34-2.37, 3 Re 2.52-2.56
Ni 0.3697 0.0000 0.1862  3 Ni 2.34-2.37, 3 Re 2.52-2.56
Ni 0.0000 0.3697 0.1862  3 Ni 2.34-2.37, 3 Re 2.52-2.56
Ni 0.3492 0.3492 0.3492  3 Re 2.52, 7 Ni 2.68-2.72
Ni 0.1862 0.0000 0.3697  3 Ni 2.34-2.37, 3 Re 2.52-2.56
Ni 0.0000 0.1862 0.3697  3 Ni 2.34-2.37, 3 Re 2.52-2.56
Ni 0.8165 0.6303 0.6303  3 Ni 2.34-2.37, 3 Re 2.52-2.56
Ni 0.6303 0.8165 0.6303  3 Ni 2.34-2.37, 3 Re 2.52-2.56
Ni 0.0000 0.0000 0.6508  3 Re 2.52, 7 Ni 2.68-2.72
Ni 0.8138 0.1835 0.8138  3 Ni 2.34-2.37, 3 Re 2.52-2.56
Ni 0.1835 0.8138 0.8138  3 Ni 2.34-2.37, 3 Re 2.52-2.56
Ni 0.6303 0.6303 0.8165  3 Ni 2.34-2.37, 3 Re 2.52-2.56
Re 0.6891 0.4104 0.0000  6 Ni 2.52-2.63, 6 Re 2.66-2.74
Re 0.4104 0.6891 0.0000  6 Ni 2.52-2.63, 6 Re 2.66-2.74
Re 0.5896 0.5896 0.2787  6 Ni 2.52-2.63, 6 Re 2.66-2.74
Re 0.7213 0.3109 0.3109  6 Ni 2.52-2.63, 6 Re 2.66-2.74
Re 0.3109 0.7213 0.3109  6 Ni 2.52-2.63, 6 Re 2.66-2.74
Re 0.6891 0.0000 0.4104  6 Ni 2.52-2.63, 6 Re 2.66-2.74
Re 0.0000 0.6891 0.4104  6 Ni 2.52-2.63, 6 Re 2.66-2.74
Re 0.5896 0.2787 0.5896  6 Ni 2.52-2.63, 6 Re 2.66-2.74
Re 0.2787 0.5896 0.5896  6 Ni 2.52-2.63, 6 Re 2.66-2.74
Re 0.4104 0.0000 0.6891  6 Ni 2.52-2.63, 6 Re 2.66-2.74
Re 0.0000 0.4104 0.6891  6 Ni 2.52-2.63, 6 Re 2.66-2.74
Re 0.3109 0.3109 0.7213  6 Ni 2.52-2.63, 6 Re 2.66-2.74

**Density**: 14.7 g/cm3
**Distance to the lowest polymorph of the same formula**: 30 meV per atom

---

Below is a relaxed structure of Re8Ni7, with properties calculated at the GGA-PBE level.

a b c (Å): 9.2452 9.2452 4.6872
angles (deg): 90.00 90.00 90.00
With the nearest neighbours (Å) after each atom.
Positions (direct):
Ni 0.0000 0.0000 0.0000  4 Re 2.45, 8 Ni 2.62-2.64
Ni 0.4079 0.4079 0.0000  3 Ni 2.41-2.64, 2 Re 2.56
Ni 0.5921 0.5921 0.0000  3 Ni 2.41-2.64, 2 Re 2.56
Ni 0.1796 0.1796 0.2496  2 Ni 2.34-2.35
Ni 0.8204 0.8204 0.2496  2 Ni 2.34-2.35
Ni 0.6796 0.3204 0.2504  2 Ni 2.34-2.35
Ni 0.3204 0.6796 0.2504  2 Ni 2.34-2.35
Ni 0.9079 0.0921 0.5000  3 Ni 2.41-2.64, 2 Re 2.56
Ni 0.5000 0.5000 0.5000  4 Re 2.45, 8 Ni 2.62-2.64
Ni 0.0921 0.9079 0.5000  3 Ni 2.41-2.64, 2 Re 2.56
Ni 0.6796 0.3204 0.7496  2 Ni 2.34-2.35
Ni 0.3204 0.6796 0.7496  2 Ni 2.34-2.35
Ni 0.1796 0.1796 0.7504  2 Ni 2.34-2.35
Ni 0.8204 0.8204 0.7504  2 Ni 2.34-2.35
Re 0.7427 0.0647 0.0000  5 Ni 2.45-2.70, 5 Re 2.52-2.69
Re 0.4669 0.1370 0.0000  5 Re 2.56-2.69, 3 Ni 2.56-2.85
Re 0.9353 0.2573 0.0000  5 Ni 2.45-2.70, 5 Re 2.52-2.69
Re 0.1370 0.4669 0.0000  5 Re 2.56-2.69, 3 Ni 2.56-2.85
Re 0.8630 0.5331 0.0000  5 Re 2.56-2.69, 3 Ni 2.56-2.85
Re 0.0647 0.7427 0.0000  5 Ni 2.45-2.70, 5 Re 2.52-2.69
Re 0.5331 0.8630 0.0000  5 Re 2.56-2.69, 3 Ni 2.56-2.85
Re 0.2573 0.9353 0.0000  5 Ni 2.45-2.70, 5 Re 2.52-2.69
Re 0.6370 0.0331 0.5000  5 Re 2.56-2.69, 3 Ni 2.56-2.85
Re 0.4353 0.2427 0.5000  5 Ni 2.45-2.70, 5 Re 2.52-2.69
Re 0.9669 0.3630 0.5000  5 Re 2.56-2.69, 3 Ni 2.56-2.85
Re 0.2427 0.4353 0.5000  5 Ni 2.45-2.70, 5 Re 2.52-2.69
Re 0.7573 0.5647 0.5000  5 Ni 2.45-2.70, 5 Re 2.52-2.69
Re 0.0331 0.6370 0.5000  5 Re 2.56-2.69, 3 Ni 2.56-2.85
Re 0.5647 0.7573 0.5000  5 Ni 2.45-2.70, 5 Re 2.52-2.69
Re 0.3630 0.9669 0.5000  5 Re 2.56-2.69, 3 Ni 2.56-2.85

**Density**: 15.8 g/cm3
**Distance to the lowest polymorph of the same formula**: 59 meV per atom

---

Below is a relaxed structure of Re5Ni, with properties calculated at the GGA-PBE level.

a b c (Å): 5.0868 5.0868 16.4592
angles (deg): 90.00 90.00 120.00
With the nearest neighbours (Å) after each atom.
Positions (direct):
Ni 0.0000 0.0000 0.0831  1 Ni 2.73, 9 Re 2.89-3.03
Ni 0.0000 0.0000 0.4169  1 Ni 2.73, 9 Re 2.89-3.03
Ni 0.0000 0.0000 0.5831  1 Ni 2.73, 9 Re 2.89-3.03
Ni 0.0000 0.0000 0.9169  1 Ni 2.73, 9 Re 2.89-3.03
Re 0.5000 0.0000 0.0000  6 Re 2.54-2.57
Re 0.0000 0.5000 0.0000  6 Re 2.54-2.57
Re 0.5000 0.5000 0.0000  6 Re 2.54-2.57
Re 0.3333 0.6667 0.1283  6 Re 2.52-2.57
Re 0.6667 0.3333 0.1536  13 Re 2.92-3.17, 3 Ni 3.16
Re 0.1590 0.3179 0.2500  6 Re 2.43-2.66
Re 0.1590 0.8410 0.2500  6 Re 2.43-2.66
Re 0.6821 0.8410 0.2500  6 Re 2.43-2.66
Re 0.6667 0.3333 0.3464  13 Re 2.92-3.17, 3 Ni 3.16
Re 0.3333 0.6667 0.3717  6 Re 2.52-2.57
Re 0.5000 0.0000 0.5000  6 Re 2.54-2.57
Re 0.0000 0.5000 0.5000  6 Re 2.54-2.57
Re 0.5000 0.5000 0.5000  6 Re 2.54-2.57
Re 0.6667 0.3333 0.6283  6 Re 2.52-2.57
Re 0.3333 0.6667 0.6536  13 Re 2.92-3.17, 3 Ni 3.16
Re 0.3179 0.1590 0.7500  6 Re 2.43-2.66
Re 0.8410 0.1590 0.7500  6 Re 2.43-2.66
Re 0.8410 0.6821 0.7500  6 Re 2.43-2.66
Re 0.3333 0.6667 0.8464  13 Re 2.92-3.17, 3 Ni 3.16
Re 0.6667 0.3333 0.8717  6 Re 2.52-2.57

**Density**: 17.8 g/cm3
**Distance to the lowest polymorph of the same formula**: 229 meV per atom

---

Below is a relaxed structure of Re3Ni, with properties calculated at the GGA-PBE level.

a b c (Å): 4.9657 4.9657 15.9539
angles (deg): 90.00 90.00 120.00
With the nearest neighbours (Å) after each atom.
Positions (direct):
Ni 0.1578 0.3157 0.2500  4 Ni 2.35-2.61, 2 Re 2.39
Ni 0.1578 0.8422 0.2500  4 Ni 2.35-2.61, 2 Re 2.39
Ni 0.6843 0.8422 0.2500  4 Ni 2.35-2.61, 2 Re 2.39
Ni 0.3157 0.1578 0.7500  4 Ni 2.35-2.61, 2 Re 2.39
Ni 0.8422 0.1578 0.7500  4 Ni 2.35-2.61, 2 Re 2.39
Ni 0.8422 0.6843 0.7500  4 Ni 2.35-2.61, 2 Re 2.39
Re 0.5000 0.0000 0.0000  6 Re 2.48-2.57
Re 0.0000 0.5000 0.0000  6 Re 2.48-2.57
Re 0.5000 0.5000 0.0000  6 Re 2.48-2.57
Re 0.0000 0.0000 0.0906  13 Re 2.87-3.07, 3 Ni 2.88
Re 0.3333 0.6667 0.1337  3 Ni 2.39, 3 Re 2.57
Re 0.6667 0.3333 0.1596  6 Ni 2.87, 10 Re 2.88-3.07
Re 0.6667 0.3333 0.3404  6 Ni 2.87, 10 Re 2.88-3.07
Re 0.3333 0.6667 0.3663  3 Ni 2.39, 3 Re 2.57
Re 0.0000 0.0000 0.4094  13 Re 2.87-3.07, 3 Ni 2.88
Re 0.5000 0.0000 0.5000  6 Re 2.48-2.57
Re 0.0000 0.5000 0.5000  6 Re 2.48-2.57
Re 0.5000 0.5000 0.5000  6 Re 2.48-2.57
Re 0.0000 0.0000 0.5906  13 Re 2.87-3.07, 3 Ni 2.88
Re 0.6667 0.3333 0.6337  3 Ni 2.39, 3 Re 2.57
Re 0.3333 0.6667 0.6596  6 Ni 2.87, 10 Re 2.88-3.07
Re 0.3333 0.6667 0.8404  6 Ni 2.87, 10 Re 2.88-3.07
Re 0.6667 0.3333 0.8663  3 Ni 2.39, 3 Re 2.57
Re 0.0000 0.0000 0.9094  13 Re 2.87-3.07, 3 Ni 2.88

**Density**: 18.1 g/cm3

---

Below is a relaxed structure of Re7Ni5, with properties calculated at the GGA-PBE level.

a b c (Å): 4.9029 4.9029 15.3052
angles (deg): 90.00 90.00 120.00
With the nearest neighbours (Å) after each atom.
Positions (direct):
Ni 0.3333 0.6667 0.1327  3 Ni 2.33, 3 Re 2.47
Ni 0.1588 0.3177 0.2500  6 Ni 2.33-2.57
Ni 0.1588 0.8412 0.2500  6 Ni 2.33-2.57
Ni 0.6823 0.8412 0.2500  6 Ni 2.33-2.57
Ni 0.3333 0.6667 0.3673  3 Ni 2.33, 3 Re 2.47
Ni 0.6667 0.3333 0.6327  3 Ni 2.33, 3 Re 2.47
Ni 0.3177 0.1588 0.7500  6 Ni 2.33-2.57
Ni 0.8412 0.1588 0.7500  6 Ni 2.33-2.57
Ni 0.8412 0.6823 0.7500  6 Ni 2.33-2.57
Ni 0.6667 0.3333 0.8673  3 Ni 2.33, 3 Re 2.47
Re 0.5000 0.0000 0.0000  4 Re 2.45, 2 Ni 2.47
Re 0.0000 0.5000 0.0000  4 Re 2.45, 2 Ni 2.47
Re 0.5000 0.5000 0.0000  4 Re 2.45, 2 Ni 2.47
Re 0.0000 0.0000 0.0973  6 Ni 2.70-2.88, 10 Re 2.87-3.01
Re 0.6667 0.3333 0.1636  4 Re 2.65-2.88, 9 Ni 2.79-2.87
Re 0.6667 0.3333 0.3364  4 Re 2.65-2.88, 9 Ni 2.79-2.87
Re 0.0000 0.0000 0.4027  6 Ni 2.70-2.88, 10 Re 2.87-3.01
Re 0.5000 0.0000 0.5000  4 Re 2.45, 2 Ni 2.47
Re 0.0000 0.5000 0.5000  4 Re 2.45, 2 Ni 2.47
Re 0.5000 0.5000 0.5000  4 Re 2.45, 2 Ni 2.47
Re 0.0000 0.0000 0.5973  6 Ni 2.70-2.88, 10 Re 2.87-3.01
Re 0.3333 0.6667 0.6636  4 Re 2.65-2.88, 9 Ni 2.79-2.87
Re 0.3333 0.6667 0.8364  4 Re 2.65-2.88, 9 Ni 2.79-2.87
Re 0.0000 0.0000 0.9027  6 Ni 2.70-2.88, 10 Re 2.87-3.01

**Density**: 16.6 g/cm3
**Distance to the lowest polymorph of the same formula**: 0 meV per atom

---

Number 1: DFT total energy -8.16 eV/atom, formation energy 1.1 kcal/mol of atoms. Number 2: DFT total energy -9.45 eV/atom, formation energy 7.7 kcal/mol of atoms. Number 3: DFT total energy -10.03 eV/atom, formation energy 6.6 kcal/mol of atoms. Number 4: DFT total energy -11.05 eV/atom, formation energy 5.3 kcal/mol of atoms. Number 5: DFT total energy -8.26 eV/atom, formation energy 3.3 kcal/mol of atoms. Number 6: DFT total energy -9.10 eV/atom, formation energy 2.8 kcal/mol of atoms. Number 7: DFT total energy -10.82 eV/atom, formation energy 10.6 kcal/mol of atoms. Number 8: DFT total energy -10.42 eV/atom, formation energy 6.6 kcal/mol of atoms. Number 9: DFT total energy -9.34 eV/atom, formation energy 5.2 kcal/mol of atoms.